No. 1
{"formula": "Cs2PbBr6", "functional": "GGA-PBEsol", "state": "relaxed", "lattice_angstrom": [[0.000, 5.422, 5.422], [5.422, 0.000, 5.422], [5.422, 5.422, 0.000]], "species": ["Cs", "Cs", "Pb", "Br", "Br", "Br", "Br", "Br", "Br"], "frac_coords": [[0.250, 0.250, 0.250], [0.750, 0.750, 0.750], [0.000, 0.000, 0.000], [0.250, 0.250, 0.750], [0.250, 0.750, 0.250], [0.250, 0.750, 0.750], [0.750, 0.250, 0.250], [0.750, 0.250, 0.750], [0.750, 0.750, 0.250]], "raw_formation_energy_ev_per_atom": -1.101, "dos_at_fermi_per_ev_cell": 2.5, "magnetic_moment_mub_per_fu": 0.0}

***

No. 2
{"formula": "Cs2PdBr", "functional": "GGA-PBEsol", "state": "relaxed", "lattice_angstrom": [[0.000, 4.129, 4.129], [4.129, 0.000, 4.129], [4.129, 4.129, 0.000]], "species": ["Cs", "Cs", "Pd", "Br"], "frac_coords": [[0.250, 0.250, 0.250], [0.750, 0.750, 0.750], [0.000, 0.000, 0.000], [0.500, 0.500, 0.500]], "raw_formation_energy_ev_per_atom": -0.439, "dos_at_fermi_per_ev_cell": 2.2, "magnetic_moment_mub_per_fu": 0.9}

***

No. 3
{"formula": "Cs2PdBr6", "functional": "GGA-PBEsol", "state": "relaxed", "lattice_angstrom": [[0.000, 5.277, 5.277], [5.277, 0.000, 5.277], [5.277, 5.277, 0.000]], "species": ["Cs", "Cs", "Pd", "Br", "Br", "Br", "Br", "Br", "Br"], "frac_coords": [[0.250, 0.250, 0.250], [0.750, 0.750, 0.750], [0.000, 0.000, 0.000], [0.234, 0.234, 0.766], [0.234, 0.766, 0.234], [0.234, 0.766, 0.766], [0.766, 0.234, 0.234], [0.766, 0.234, 0.766], [0.766, 0.766, 0.234]], "raw_formation_energy_ev_per_atom": -1.012, "magnetic_moment_mub_per_fu": 0.0}

***

No. 4
{"formula": "Cs2RbSbBr6", "functional": "GGA-PBEsol", "state": "relaxed", "lattice_angstrom": [[0.000, 5.948, 5.948], [5.948, 0.000, 5.948], [5.948, 5.948, 0.000]], "species": ["Cs", "Cs", "Rb", "Sb", "Br", "Br", "Br", "Br", "Br", "Br"], "frac_coords": [[0.250, 0.250, 0.250], [0.750, 0.750, 0.750], [0.000, 0.000, 0.000], [0.500, 0.500, 0.500], [0.267, 0.267, 0.733], [0.267, 0.733, 0.267], [0.267, 0.733, 0.733], [0.733, 0.267, 0.267], [0.733, 0.267, 0.733], [0.733, 0.733, 0.267]], "raw_formation_energy_ev_per_atom": -1.299, "dos_at_fermi_per_ev_cell": 0.0, "magnetic_moment_mub_per_fu": 0.0}

***

No. 5
{"formula": "CsRb2ScBr6", "functional": "GGA-PBEsol", "state": "relaxed", "lattice_angstrom": [[0.000, 5.919, 5.919], [5.919, 0.000, 5.919], [5.919, 5.919, 0.000]], "species": ["Cs", "Rb", "Rb", "Sc", "Br", "Br", "Br", "Br", "Br", "Br"], "frac_coords": [[0.000, 0.000, 0.000], [0.250, 0.250, 0.250], [0.750, 0.750, 0.750], [0.500, 0.500, 0.500], [0.279, 0.279, 0.721], [0.279, 0.721, 0.279], [0.279, 0.721, 0.721], [0.721, 0.279, 0.279], [0.721, 0.279, 0.721], [0.721, 0.721, 0.279]], "raw_formation_energy_ev_per_atom": -1.683, "dos_at_fermi_per_ev_cell": 0.0, "magnetic_moment_mub_per_fu": 0.0}

***

No. 6
{"formula": "Cs2RbTlBr6", "functional": "GGA-PBEsol", "state": "relaxed", "lattice_angstrom": [[0.000, 5.890, 5.890], [5.890, 0.000, 5.890], [5.890, 5.890, 0.000]], "species": ["Cs", "Cs", "Rb", "Tl", "Br", "Br", "Br", "Br", "Br", "Br"], "frac_coords": [[0.250, 0.250, 0.250], [0.750, 0.750, 0.750], [0.000, 0.000, 0.000], [0.500, 0.500, 0.500], [0.268, 0.268, 0.732], [0.268, 0.732, 0.268], [0.268, 0.732, 0.732], [0.732, 0.268, 0.268], [0.732, 0.268, 0.732], [0.732, 0.732, 0.268]], "raw_formation_energy_ev_per_atom": -1.239, "magnetic_moment_mub_per_fu": 0.0}